--- P ---
Material: ScTc3
Method: DFT, PBE-GGA
State: relaxed

a b c (Å): 6.3173 8.9094 4.4278
angles (deg): 90.00 90.00 90.00
Space group Cmcm (No. 63)
Unique sites:
Sc: 0.0000 0.1240 0.2500 (multiplicity 4)
Tc: 0.0000 0.3736 0.7500 (multiplicity 4)
Tc: 0.2420 0.3731 0.2500 (multiplicity 8)

calculated volume = 15.58 Å³ per atom

=====

--- Q ---
Material: ScTc3
Method: DFT, PBE-GGA
State: relaxed

a b c (Å): 3.7497 3.7497 18.0912
angles (deg): 90.00 90.00 90.00
Space group I4/mmm (No. 139)
Unique sites:
Sc: 0.0000 0.0000 0.1222 (multiplicity 4)
Tc: 0.0000 0.0000 0.3659 (multiplicity 4)
Tc: 0.0000 0.5000 0.0000 (multiplicity 4)
Tc: 0.0000 0.5000 0.2500 (multiplicity 4)

calculated volume = 15.90 Å³ per atom

=====

Which of them is most stable? Easy: P.